Model P:
The following is a GGA-PBE calculation of a relaxed HfGaMo3 crystal, from the Alexandria database.

It has space group Pm-3m (No. 221), with a = 4.613 Å, b = 4.613 Å, c = 4.613 Å, α = 90.00°, β = 90.00° and γ = 90.00°. The distinct sites, in fractional coordinates, are Hf at (0.000, 0.000, 0.000), Ga at (0.500, 0.500, 0.500) and Mo at (0.000, 0.500, 0.500).

The calculation puts the theoretical density at 9.07 g/cm³. The value obtained for the spin magnetization is 0.000 μB/atom.

---

Model Q:
The following is a GGA-PBE calculation of a relaxed HfGaMo3 crystal, from the Alexandria database.

It has space group Pm-3m (No. 221), with a = 4.788 Å, b = 4.788 Å, c = 4.788 Å, α = 90.00°, β = 90.00° and γ = 90.00°. The distinct sites, in fractional coordinates, are Hf at (0.000, 0.000, 0.000), Ga at (0.500, 0.500, 0.500) and Mo at (0.000, 0.000, 0.500).

The calculation puts the theoretical density at 8.11 g/cm³. The value obtained for the spin magnetization is 0.000 μB/atom.

---

Which is the most stable structure? model P is the most stable.

---

Model P:
The following is a GGA-PBE calculation of a relaxed HfGaSe2N crystal, from the Alexandria database.

It has space group P4/mmm (No. 123), with a = 5.303 Å, b = 5.303 Å, c = 4.145 Å, α = 90.00°, β = 90.00° and γ = 90.00°. The distinct sites, in fractional coordinates, are Hf at (0.000, 0.000, 0.000), Ga at (0.500, 0.500, 0.500), Se at (0.000, 0.500, 0.000) and N at (0.000, 0.000, 0.500).

The calculation puts the theoretical density at 5.99 g/cm³. The value obtained for the spin magnetization is 0.332 μB/atom.

---

Model Q:
The following is a GGA-PBE calculation of a relaxed HfGaSe2N crystal, from the Alexandria database.

It has space group P4/mmm (No. 123), with a = 5.077 Å, b = 5.077 Å, c = 3.602 Å, α = 90.00°, β = 90.00° and γ = 90.00°. The distinct sites, in fractional coordinates, are Hf at (0.000, 0.000, 0.000), Ga at (0.500, 0.500, 0.500), Se at (0.000, 0.500, 0.500) and N at (0.500, 0.500, 0.000).

The calculation puts the theoretical density at 7.52 g/cm³. The value obtained for the spin magnetization is 0.094 μB/atom.

---

Which is the most stable structure? model P is the most stable.

---

Model P:
The following is a GGA-PBE calculation of a relaxed HfGaTe2N crystal, from the Alexandria database.

It has space group P4/mmm (No. 123), with a = 5.568 Å, b = 5.568 Å, c = 3.556 Å, α = 90.00°, β = 90.00° and γ = 90.00°. The distinct sites, in fractional coordinates, are Hf at (0.000, 0.000, 0.000), Ga at (0.500, 0.500, 0.500), Te at (0.000, 0.500, 0.500) and N at (0.500, 0.500, 0.000).

The calculation puts the theoretical density at 7.79 g/cm³. The value obtained for the spin magnetization is 0.000 μB/atom.

---

Model Q:
The following is a GGA-PBE calculation of a relaxed HfGaTe2N crystal, from the Alexandria database.

It has space group P4/mmm (No. 123), with a = 5.819 Å, b = 5.819 Å, c = 3.974 Å, α = 90.00°, β = 90.00° and γ = 90.00°. The distinct sites, in fractional coordinates, are Hf at (0.000, 0.000, 0.000), Ga at (0.500, 0.500, 0.500), Te at (0.000, 0.500, 0.000) and N at (0.000, 0.000, 0.500).

The calculation puts the theoretical density at 6.39 g/cm³. The value obtained for the spin magnetization is 0.000 μB/atom.

---

Which is the most stable structure? model Q is the most stable.